The following is a DFT calculation (PBEsol) of crystalline Zr2NiAu at its relaxed geometry.

Geometry as extended XYZ:
```
4
Lattice="-1.9871 1.9871 4.3962 1.9871 -1.9871 4.3962 1.9871 1.9871 -4.3962" Properties=species:S:1:pos:R:3 pbc="T T T"
Zr 0.0000 0.0000 0.0000
Zr 0.0000 1.9871 2.1981
Ni 1.9871 0.0000 2.1981
Au 0.0000 0.0000 4.3962
```

Energy of formation = -0.305 eV/atom



The following is a DFT calculation (PBEsol) of crystalline Zr2NiAu at its relaxed geometry.

Geometry as extended XYZ:
```
4
Lattice="2.8733 -3.7958 0.0000 2.8733 3.7958 0.0000 0.0000 0.0000 3.2159" Properties=species:S:1:pos:R:3 pbc="T T T"
Zr 1.4366 1.8979 0.0000
Zr 1.4366 -1.8979 0.0000
Ni 0.0000 0.0000 1.6079
Au 2.8733 0.0000 1.6079
```

Energy of formation = -0.359 eV/atom



The following is a DFT calculation (PBEsol) of crystalline Zr2NiAu at its relaxed geometry.

Geometry as extended XYZ:
```
4
Lattice="3.3809 0.0000 0.0000 0.0000 4.1897 0.0000 -1.5793 0.0000 5.1138" Properties=species:S:1:pos:R:3 pbc="T T T"
Zr 0.0000 0.0000 0.0000
Zr 0.0346 2.0949 2.9877
Ni 1.7265 0.0000 2.4276
Au 1.7018 2.0949 0.7333
```

Energy of formation = -0.460 eV/atom



The following is a DFT calculation (PBEsol) of crystalline NpSnAu2 at its relaxed geometry.

Geometry as extended XYZ:
```
4
Lattice="0.0000 3.4655 3.4655 3.4655 0.0000 3.4655 3.4655 3.4655 0.0000" Properties=species:S:1:pos:R:3 pbc="T T T"
Np 0.0000 0.0000 0.0000
Sn 3.4655 3.4655 3.4655
Au 1.7328 1.7328 1.7328
Au 5.1983 5.1983 5.1983
```

Energy of formation = -0.094 eV/atom



The following is a DFT calculation (PBEsol) of crystalline Au2O3 at its relaxed geometry.

Geometry as extended XYZ:
```
10
Lattice="0.0000 6.4043 1.9543 5.2333 0.0000 1.9543 5.2333 6.4043 0.0000" Properties=species:S:1:pos:R:3 pbc="T T T"
Au 6.4533 2.6153 1.9543
Au 6.6298 5.8175 2.9315
Au 4.0132 10.1933 1.9543
Au 3.8367 6.9911 2.9315
O 8.0314 5.3509 1.4930
O 5.2333 6.4043 0.2649
O 2.6166 3.2021 1.2421
O 5.4148 4.2556 2.4702
O 2.4351 7.4577 1.4930
O 5.0518 8.5530 2.4702
```

Energy relative to the elements, uncorrected = -0.41 eV/f.u.



The following is a DFT calculation (PBEsol) of crystalline PAu2O at its relaxed geometry.

Geometry as extended XYZ:
```
8
Lattice="-3.0033 3.0033 3.4937 3.0033 -3.0033 3.4937 3.0033 3.0033 -3.4937" Properties=species:S:1:pos:R:3 pbc="T T T"
P 0.0000 0.0000 0.0000
P 0.0000 3.0033 1.7468
Au 1.5017 -1.4146 2.6203
Au 1.5887 1.5017 0.8734
Au 1.5017 4.4179 -0.8734
Au 1.4146 1.5017 4.3671
O 3.0033 0.0000 1.7468
O 0.0000 0.0000 3.4937
```

Energy relative to the elements, uncorrected = 0.87 eV/f.u.



Number 1: energy -29.479 eV per cell. Number 2: energy -29.698 eV per cell. Number 3: energy -30.100 eV per cell. Number 4: energy -26.332 eV per cell. Number 5: energy -48.017 eV per cell. Number 6: energy -36.045 eV per cell.